No. 1
Density functional theory data (GGA-PBEsol) for crystalline KTlBr4 at its relaxed geometry.

Geometry as POSCAR:
```
KTlBr4
1.0
7.962 0.000 0.000
0.000 10.173 0.000
0.000 0.000 10.356
K Tl Br
4 4 16
Cartesian
1.422 2.543 2.589 K
2.559 7.630 2.589 K
5.403 2.543 7.767 K
6.540 7.630 7.767 K
1.991 0.000 7.002 Tl
1.991 5.087 8.531 Tl
5.972 0.000 3.354 Tl
5.972 5.087 1.824 Tl
0.051 5.565 3.366 Br
0.051 9.695 1.812 Br
1.105 7.079 9.930 Br
1.105 8.181 5.604 Br
2.876 1.992 5.604 Br
2.876 3.094 9.930 Br
3.930 0.479 1.812 Br
3.930 4.608 3.366 Br
4.033 5.565 6.990 Br
4.033 9.695 8.544 Br
5.086 7.079 0.426 Br
5.086 8.181 4.752 Br
6.857 1.992 4.752 Br
6.857 3.094 0.426 Br
7.911 0.479 8.544 Br
7.911 4.608 6.990 Br
```

Calculated values
* crystal system: orthorhombic
* raw formation energy: -900 meV/atom
* mass density: 4.46 g cm⁻³

No. 2
Density functional theory data (GGA-PBEsol) for crystalline LaAgP at its relaxed geometry.

Geometry as POSCAR:
```
LaAgP
1.0
4.941 0.000 0.000
-2.470 4.279 0.000
0.000 0.000 6.210
La Ag P
2 2 2
Cartesian
0.000 2.852 1.552 La
2.470 1.426 4.657 La
0.000 2.852 4.657 Ag
2.470 1.426 1.552 Ag
0.000 0.000 0.000 P
0.000 0.000 3.105 P
```

Calculated values
* DFT formation energy: -1.22 eV/f.u.
* crystal system: hexagonal
* mass density: 7.03 g cm⁻³

No. 3
Density functional theory data (GGA-PBEsol) for crystalline TaPdOF2 at its relaxed geometry.

Geometry as POSCAR:
```
TaPdOF2
1.0
4.090 0.000 0.000
0.000 4.090 0.000
0.000 0.000 3.894
Ta Pd O F
1 1 1 2
Cartesian
0.000 0.000 0.000 Ta
2.045 2.045 1.947 Pd
0.000 0.000 1.947 O
0.000 2.045 0.000 F
2.045 0.000 0.000 F
```

Calculated values
* crystal system: tetragonal
* raw formation energy: -1536 meV/atom
* mass density: 8.70 g cm⁻³

No. 4
Density functional theory data (GGA-PBEsol) for crystalline ScSn3Os at its relaxed geometry.

Geometry as POSCAR:
```
ScSn3Os
1.0
5.079 0.000 0.000
0.000 5.079 0.000
0.000 0.000 5.079
Sc Sn Os
1 3 1
Cartesian
0.000 0.000 0.000 Sc
0.000 2.540 2.540 Sn
2.540 0.000 2.540 Sn
2.540 2.540 0.000 Sn
2.540 2.540 2.540 Os
```

Calculated values
* ΔE to the lowest computed polymorph: 0 meV/atom
* DFT formation energy: 2.22 eV/f.u.
* crystal system: cubic
* mass density: 7.49 g cm⁻³

No. 5
Density functional theory data (GGA-PBEsol) for crystalline KNa2BO3 at its relaxed geometry.

Geometry as POSCAR:
```
KNa2BO3
1.0
5.581 0.000 0.000
0.000 6.003 0.000
0.000 0.000 5.585
K Na B O
2 4 2 6
Cartesian
1.395 1.501 0.409 K
4.186 4.502 5.176 K
1.395 3.128 3.489 Na
1.395 5.877 3.489 Na
4.186 0.126 2.096 Na
4.186 2.876 2.096 Na
1.395 4.502 1.131 B
4.186 1.501 4.454 B
0.202 4.502 1.863 O
1.395 4.502 5.331 O
2.589 4.502 1.863 O
2.992 1.501 3.722 O
4.186 1.501 0.254 O
5.379 1.501 3.722 O
```

Calculated values
* crystal system: orthorhombic
* raw formation energy: -1974 meV/atom
* mass density: 2.55 g cm⁻³

No. 6
Density functional theory data (GGA-PBEsol) for crystalline FeTc at its relaxed geometry.

Geometry as POSCAR:
```
FeTc
1.0
2.851 0.000 0.000
0.000 2.851 0.000
0.000 0.000 6.135
Fe Tc
2 2
Cartesian
0.713 0.713 0.648 Fe
2.138 2.138 5.487 Fe
0.713 0.713 3.922 Tc
2.138 2.138 2.213 Tc
```

Calculated values
* DFT formation energy: 0.20 eV/f.u.
* crystal system: tetragonal
* mass density: 10.25 g cm⁻³

No. 7
Density functional theory data (GGA-PBEsol) for crystalline NbP3Ir at its relaxed geometry.

Geometry as POSCAR:
```
NbP3Ir
1.0
4.661 0.000 0.000
0.000 4.661 0.000
0.000 0.000 4.661
Nb P Ir
1 3 1
Cartesian
0.000 0.000 0.000 Nb
0.000 0.000 2.330 P
0.000 2.330 0.000 P
2.330 0.000 0.000 P
2.330 2.330 2.330 Ir
```

Calculated values
* DFT formation energy: 6.14 eV/f.u.
* crystal system: cubic
* mass density: 6.20 g cm⁻³

No. 8
Density functional theory data (GGA-PBEsol) for crystalline Y2PtPb at its relaxed geometry.

Geometry as POSCAR:
```
Y2PtPb
1.0
3.485 0.000 0.000
0.000 3.485 0.000
0.000 0.000 7.844
Y Pt Pb
2 1 1
Cartesian
0.000 0.000 1.672 Y
0.000 0.000 6.172 Y
1.743 1.743 0.000 Pt
1.743 1.743 3.922 Pb
```

Calculated values
* DFT formation energy: -3.44 eV/f.u.
* crystal system: tetragonal
* mass density: 10.11 g cm⁻³

No. 9
Density functional theory data (GGA-PBEsol) for crystalline NiPt2Rh at its relaxed geometry.

Geometry as POSCAR:
```
NiPt2Rh
1.0
-1.898 1.898 3.766
1.898 -1.898 3.766
1.898 1.898 -3.766
Ni Pt Rh
1 2 1
Cartesian
0.000 0.000 0.000 Ni
1.898 0.000 1.883 Pt
0.000 1.898 1.883 Pt
0.000 0.000 3.766 Rh
```

Calculated values
* DFT formation energy: -0.15 eV/f.u.
* crystal system: tetragonal
* mass density: 16.89 g cm⁻³

No. 10
Density functional theory data (GGA-PBEsol) for crystalline CoS2NO at its relaxed geometry.

Geometry as POSCAR:
```
CoS2NO
1.0
4.469 0.000 0.000
0.000 4.469 0.000
0.000 0.000 3.284
Co S N O
1 2 1 1
Cartesian
0.000 0.000 0.000 Co
0.000 2.235 0.000 S
2.235 0.000 0.000 S
0.000 0.000 1.642 N
2.235 2.235 1.642 O
```

Calculated values
* crystal system: tetragonal
* raw formation energy: 1000 meV/atom
* mass density: 3.87 g cm⁻³

No. 11
Density functional theory data (GGA-PBEsol) for crystalline YSiP2 at its relaxed geometry.

Geometry as POSCAR:
```
YSiP2
1.0
1.801 1.040 6.442
-1.801 1.040 6.442
0.000 -2.080 6.442
Y Si P
1 1 2
Cartesian
0.000 0.000 0.000 Y
0.000 0.000 9.663 Si
0.000 0.000 4.565 P
0.000 0.000 14.762 P
```

Calculated values
* crystal system: trigonal
* raw formation energy: -594 meV/atom
* mass density: 4.10 g cm⁻³

No. 12
Density functional theory data (GGA-PBEsol) for crystalline Ca2Zn2Pb at its relaxed geometry.

Geometry as POSCAR:
```
Ca2Zn2Pb
1.0
-1.814 1.814 9.540
1.814 -1.814 9.540
1.814 1.814 -9.540
Ca Zn Pb
2 2 1
Cartesian
0.000 0.000 2.128 Ca
0.000 0.000 16.952 Ca
1.814 0.000 4.770 Zn
0.000 1.814 4.770 Zn
0.000 0.000 9.540 Pb
```

Calculated values
* ΔE to the lowest computed polymorph: 69 meV/atom
* DFT formation energy: -1.21 eV/f.u.
* crystal system: tetragonal
* mass density: 5.53 g cm⁻³

no.,uncorrected energy (eV per formula unit)
1,-16.6
2,-15.7
3,-35.3
4,-29.4
5,-40.5
6,-20.0
7,-31.9
8,-28.0
9,-28.4
10,-25.3
11,-26.5
12,-12.6